# CsKRb5, relaxed, DFT PBE-GGA
data_CsKRb5
_cell_length_a 6.776
_cell_length_b 6.776
_cell_length_c 15.196
_cell_angle_alpha 90.00
_cell_angle_beta 90.00
_cell_angle_gamma 90.00
_space_group_name_H-M_alt 'P 1'
_space_group_IT_number 1
_space_group_name_Hall 'P 1'
loop_
_atom_site_label
_atom_site_fract_x
_atom_site_fract_y
_atom_site_fract_z
Cs1 0.000 0.000 0.000
K1 0.500 0.500 0.500
Rb1 0.000 0.000 0.500
Rb2 0.000 0.500 0.259
Rb3 0.000 0.500 0.741
Rb4 0.500 0.000 0.259
Rb5 0.500 0.000 0.741
# * crystal system: tetragonal
# * calculated formation energy: 0.04 eV per atom